1.
AcNd2Bi2 | PBE | optimized geometry Values from VASP.

The structure in Quantum ESPRESSO input format:
```
&SYSTEM
  ibrav = 0, nat = 5, ntyp = 3
/
ATOMIC_SPECIES
Bi 208.98 Bi.upf
Ac 227.00 Ac.upf
Nd 144.24 Nd.upf
ATOMIC_POSITIONS crystal
Bi 0.604 0.604 0.792
Bi 0.396 0.396 0.208
Ac 0.000 0.000 0.000
Nd 0.250 0.750 0.500
Nd 0.750 0.250 0.500
CELL_PARAMETERS angstrom
4.686 -0.667 0.464
0.599 4.695 0.464
1.778 1.355 8.194
```

2.
AcNd3Bi2 | PBE | optimized geometry Values from VASP.

The structure in Quantum ESPRESSO input format:
```
&SYSTEM
  ibrav = 0, nat = 12, ntyp = 3
/
ATOMIC_SPECIES
Nd 144.24 Nd.upf
Ac 227.00 Ac.upf
Bi 208.98 Bi.upf
ATOMIC_POSITIONS crystal
Nd 0.642 0.284 0.810
Nd 0.311 0.623 0.511
Nd 0.358 0.716 0.190
Nd 0.058 0.116 0.445
Nd 0.689 0.377 0.489
Nd 0.942 0.884 0.555
Ac 0.114 0.228 0.101
Ac 0.886 0.772 0.899
Bi 0.512 0.024 0.184
Bi 0.488 0.976 0.816
Bi 0.757 0.514 0.223
Bi 0.243 0.486 0.777
CELL_PARAMETERS angstrom
4.636 0.000 0.000
-2.318 10.780 -0.568
0.000 -5.337 8.737
```

3.
AcNd4Bi5 | PBE | optimized geometry Values from VASP.

The structure in Quantum ESPRESSO input format:
```
&SYSTEM
  ibrav = 0, nat = 10, ntyp = 3
/
ATOMIC_SPECIES
Nd 144.24 Nd.upf
Bi 208.98 Bi.upf
Ac 227.00 Ac.upf
ATOMIC_POSITIONS crystal
Nd 0.203 0.203 0.405
Nd 0.399 0.399 0.798
Nd 0.601 0.601 0.202
Nd 0.797 0.797 0.595
Bi 0.199 0.699 0.398
Bi 0.605 0.105 0.211
Bi 0.000 0.500 0.000
Bi 0.801 0.301 0.602
Bi 0.395 0.895 0.789
Ac 0.000 0.000 0.000
CELL_PARAMETERS angstrom
-3.548 -0.776 -2.927
4.263 -0.597 -5.010
0.453 -10.766 6.022
```

4.
Ac3Nd5Bi8 | PBE | optimized geometry Values from VASP.

The structure in Quantum ESPRESSO input format:
```
&SYSTEM
  ibrav = 0, nat = 16, ntyp = 3
/
ATOMIC_SPECIES
Nd 144.24 Nd.upf
Bi 208.98 Bi.upf
Ac 227.00 Ac.upf
ATOMIC_POSITIONS crystal
Nd 0.000 0.500 0.000
Nd 0.500 0.000 0.000
Nd 0.500 0.500 0.500
Nd 0.000 0.000 0.000
Nd 0.500 0.500 0.000
Bi 0.250 0.740 0.760
Bi 0.740 0.250 0.760
Bi 0.260 0.750 0.240
Bi 0.250 0.250 0.760
Bi 0.750 0.750 0.240
Bi 0.255 0.255 0.235
Bi 0.750 0.260 0.240
Bi 0.745 0.745 0.765
Ac 0.000 0.500 0.500
Ac 0.500 0.000 0.500
Ac 0.000 0.000 0.500
CELL_PARAMETERS angstrom
8.179 0.000 4.685
2.748 7.704 4.685
0.029 0.021 9.432
```

5.
Ac2NdBi | PBE | optimized geometry Values from VASP.

The structure in Quantum ESPRESSO input format:
```
&SYSTEM
  ibrav = 0, nat = 4, ntyp = 3
/
ATOMIC_SPECIES
Ac 227.00 Ac.upf
Bi 208.98 Bi.upf
Nd 144.24 Nd.upf
ATOMIC_POSITIONS crystal
Ac 0.000 0.000 0.500
Ac 0.000 0.500 0.000
Bi 0.500 0.000 0.000
Nd 0.500 0.500 0.500
CELL_PARAMETERS angstrom
-4.262 2.919 0.554
-1.890 -3.429 3.528
2.348 2.693 3.875
```

Summary:
Relative energy among the computed polymorphs = 0.00 kcal/mol of atoms

6.
AcNd5Bi6 | PBE | optimized geometry Values from VASP.

The structure in Quantum ESPRESSO input format:
```
&SYSTEM
  ibrav = 0, nat = 12, ntyp = 3
/
ATOMIC_SPECIES
Bi 208.98 Bi.upf
Ac 227.00 Ac.upf
Nd 144.24 Nd.upf
ATOMIC_POSITIONS crystal
Bi 0.744 0.086 0.341
Bi 0.253 0.257 0.000
Bi 0.256 0.573 0.341
Bi 0.744 0.427 0.659
Bi 0.747 0.743 0.000
Bi 0.256 0.914 0.659
Ac 0.000 0.000 0.000
Nd 0.000 0.668 0.665
Nd 0.000 0.332 0.335
Nd 0.500 0.164 0.672
Nd 0.500 0.836 0.328
Nd 0.500 0.500 0.000
CELL_PARAMETERS angstrom
8.066 0.223 0.000
2.485 7.675 0.000
1.242 3.838 6.987
```

no.,E (eV per atom)
1,-4.8819
2,-4.9214
3,-5.2062
4,-5.1568
5,-4.5981
6,-5.2186